(1)
Here is Ba2Li2Hf after structural relaxation from Alexandria via LeMat-Bulk. Energies are from PBE.

**Relative energy among the computed polymorphs**: 0 meV per atom
**Crystal system**: tetragonal
**Formation energy**: 2.80 eV/f.u.
**Volume**: 33.54 A^3/atom

abc: 8.8819 8.8819 4.2516
angles: 90.00 90.00 90.00
With the nearest neighbours (Å) after each atom.
Space group P4/mbm (No. 127)
Inequivalent atoms, fractional coordinates:
Ba 0.1980 0.3020 0.0000 x4  6 Li 3.21-3.55
Li 0.1106 0.6106 0.5000 x4  1 Li 2.78
Hf 0.0000 0.0000 0.5000 x2  4 Li 3.60, 8 Ba 3.85


(2)
Here is Hf5In2H2 after structural relaxation from Alexandria via LeMat-Bulk. Energies are from PBE.

**Relative energy among the computed polymorphs**: 0 meV per atom
**Crystal system**: monoclinic
**Volume**: 17.51 A^3/atom

abc: 10.6213 3.9931 7.4937
angles: 90.00 97.49 90.00
With the nearest neighbours (Å) after each atom.
Space group C2/m (No. 12)
Inequivalent atoms, fractional coordinates:
Hf 0.0000 0.0000 0.0000 x2  2 H 2.00
Hf 0.1415 0.0000 0.4389 x4  1 H 2.04
Hf 0.2167 0.5000 0.1516 x4  2 H 2.09
In 0.0690 0.5000 0.7259 x4  1 H 2.87, 8 Hf 3.02-3.13
H 0.1613 0.0000 0.1717 x4  4 Hf 2.00-2.09


(3)
Here is Th6Ir2RuPt3 after structural relaxation from Alexandria via LeMat-Bulk. Energies are from PBE.

**Crystal system**: monoclinic
**Formation energy**: -12.45 eV/f.u.
**Volume**: 25.38 A^3/atom

abc: 18.1234 4.1457 8.3382
angles: 90.00 103.50 90.00
With the nearest neighbours (Å) after each atom.
Space group C2/m (No. 12)
Inequivalent atoms, fractional coordinates:
Th 0.0013 0.0000 0.2403 x4  2 Ru 2.88, 1 Ir 2.92, 3 Pt 2.99-3.00
Th 0.1620 0.5000 0.0879 x4  1 Ru 2.86, 2 Ir 2.91, 3 Pt 2.98-2.99
Th 0.1688 0.5000 0.5778 x4  3 Ir 2.90, 3 Pt 2.98
Ir 0.1668 0.0000 0.3344 x4  6 Th 2.90-2.92
Ru 0.0000 0.5000 0.0000 x2  6 Th 2.86-2.88
Pt 0.0000 0.5000 0.5000 x2  6 Th 2.98-3.00
Pt 0.1683 0.0000 0.8338 x4  6 Th 2.98-2.99


(4)
Here is Cs5Pu2O12 after structural relaxation from Alexandria via LeMat-Bulk. Energies are from PBE.

**Crystal system**: monoclinic
**Formation energy (no corrections)**: -1.7968 eV/atom
**Volume**: 23.10 A^3/atom

abc: 13.8963 9.2656 6.8233
angles: 90.00 92.58 90.00
With the nearest neighbours (Å) after each atom.
Space group C2/m (No. 12)
Inequivalent atoms, fractional coordinates:
Cs 0.0000 0.0000 0.0000 x2  6 O 2.98-3.23
Cs 0.1313 0.5000 0.0171 x4  5 O 3.10-3.17
Cs 0.2412 0.0000 0.4722 x4  4 O 2.94-3.20
Pu 0.0000 0.2514 0.5000 x4  4 O 1.92
O 0.0323 0.5000 0.4208 x4  1 O 1.43
O 0.0379 0.0000 0.5737 x4  1 O 1.42
O 0.0928 0.2366 0.3004 x8  1 Pu 1.92
O 0.1031 0.2656 0.6953 x8  1 Pu 1.92


(5)
Here is PrAl2Os after structural relaxation from Alexandria via LeMat-Bulk. Energies are from PBE.

**Crystal system**: trigonal
**Formation energy**: -1.53 eV/f.u.
**Volume**: 21.08 A^3/atom

abc: 4.2803 4.2803 15.9435
angles: 90.00 90.00 120.00
With the nearest neighbours (Å) after each atom.
Space group R-3m (No. 166, hexagonal axes)
Inequivalent atoms, fractional coordinates:
Pr 0.0000 0.0000 0.0000 x3  8 Al 3.21-3.26
Al 0.0000 0.0000 0.2045 x6  3 Os 2.54, 3 Al 2.75
Os 0.0000 0.0000 0.5000 x3  6 Al 2.54


(6)
Here is Ac7Al2Ge2 after structural relaxation from Alexandria via LeMat-Bulk. Energies are from PBE.

**Crystal system**: orthorhombic
**Formation energy**: -2.09 eV/f.u.
**Volume**: 36.78 A^3/atom

abc: 8.6656 11.9091 7.8407
angles: 90.00 90.00 90.00
With the nearest neighbours (Å) after each atom.
Space group Cmmm (No. 65)
Inequivalent atoms, fractional coordinates:
Ac 0.0000 0.0000 0.0000 x2  2 Ge 3.36
Ac 0.0000 0.5000 0.2559 x4  2 Ge 3.28, 2 Al 3.53
Ac 0.2500 0.2500 0.2797 x8  2 Ge 3.11, 1 Ac 3.45
Al 0.1573 0.0000 0.5000 x4  1 Al 2.73
Ge 0.0000 0.2824 0.0000 x4  7 Ac 3.11-3.36


(7)
Here is KBeHgF6 after structural relaxation from Alexandria via LeMat-Bulk. Energies are from PBE.

**Crystal system**: triclinic
**Formation energy (no corrections)**: -2.2194 eV/atom
**Volume**: 16.92 A^3/atom

abc: 4.8954 5.7517 5.9601
angles: 87.79 65.76 84.48
With the nearest neighbours (Å) after each atom.
Space group P1 (No. 1)
Inequivalent atoms, fractional coordinates:
K 0.0000 0.0000 0.0000 x1  6 F 2.71-2.79
Be 0.4306 0.5005 0.1377 x1  4 F 1.56-1.58
Hg 0.7064 0.4999 0.5865 x1  2 F 2.03
F 0.1302 0.6501 0.2889 x1  1 Be 1.56
F 0.3735 0.3338 0.9599 x1  1 Be 1.58
F 0.4472 0.7973 0.5823 x1  1 Hg 2.03
F 0.5801 0.3499 0.2877 x1  1 Be 1.56
F 0.6639 0.6681 0.9612 x1  1 Be 1.58
F 0.9696 0.2024 0.5821 x1  1 Hg 2.03


(8)
Here is Na2MnCr after structural relaxation from Alexandria via LeMat-Bulk. Energies are from PBE.

**Relative energy among the computed polymorphs**: 104 meV per atom
**Crystal system**: cubic
**Formation energy**: 6.10 eV/f.u.
**Volume**: 20.87 A^3/atom

abc: 6.9373 6.9373 6.9373
angles: 90.00 90.00 90.00
With the nearest neighbours (Å) after each atom.
Space group Fm-3m (No. 225)
Inequivalent atoms, fractional coordinates:
Na 0.2500 0.2500 0.2500 x8  4 Cr 3.00, 4 Mn 3.00
Mn 0.0000 0.0000 0.0000 x4  8 Na 3.00
Cr 0.0000 0.0000 0.5000 x4  8 Na 3.00


Question: Which of these has the lowest volume?
Answer: KBeHgF6


Question: Which value of volume does entry 8 give?
Answer: 20.87 A^3/atom